(1)
# Tm2RuAu | Alexandria | PBEsol | relaxed
data_Tm2RuAu
_symmetry_space_group_name_H-M 'F m -3 m'
_symmetry_Int_Tables_number 225
_symmetry_space_group_name_Hall '-F 4 2 3'
_cell_length_a 6.788
_cell_length_b 6.788
_cell_length_c 6.788
_cell_angle_alpha 90.00
_cell_angle_beta 90.00
_cell_angle_gamma 90.00
loop_
_atom_site_label
_atom_site_type_symbol
_atom_site_fract_x
_atom_site_fract_y
_atom_site_fract_z
_atom_site_occupancy
Tm1 Tm 0.250 0.250 0.250 1
Ru1 Ru 0.000 0.000 0.000 1
Au1 Au 0.000 0.000 0.500 1
# D(E_F) (states/eV/cell): 8.12
# Calculated formation energy (eV/atom): -0.63
# V (Å³ per cell): 312.7


(2)
# RuWAu2 | Alexandria | PBEsol | relaxed
data_RuWAu2
_symmetry_space_group_name_H-M 'P m m 2'
_symmetry_Int_Tables_number 25
_cell_length_a 2.846
_cell_length_b 3.834
_cell_length_c 5.714
_cell_angle_alpha 90.00
_cell_angle_beta 90.00
_cell_angle_gamma 90.00
loop_
_symmetry_equiv_pos_as_xyz
'x,y,z'
'-x,-y,z'
'-x,y,z'
'x,-y,z'
loop_
_atom_site_label
_atom_site_type_symbol
_atom_site_fract_x
_atom_site_fract_y
_atom_site_fract_z
_atom_site_occupancy
Ru1 Ru 0.000 0.000 0.000 1
W1 W 0.500 0.500 0.207 1
Au1 Au 0.000 0.000 0.475 1
Au2 Au 0.500 0.500 0.731 1
# D(E_F) (states/eV/cell): 2.71
# Calculated formation energy (eV/atom): 0.21
# V (Å³ per cell): 62.4


(3)
# RuWAu2 | Alexandria | PBEsol | relaxed
data_RuWAu2
_symmetry_space_group_name_H-M 'P 4/m m m'
_symmetry_Int_Tables_number 123
_symmetry_space_group_name_Hall '-P 4 2'
_cell_length_a 4.672
_cell_length_b 4.672
_cell_length_c 2.872
_cell_angle_alpha 90.00
_cell_angle_beta 90.00
_cell_angle_gamma 90.00
loop_
_atom_site_label
_atom_site_type_symbol
_atom_site_fract_x
_atom_site_fract_y
_atom_site_fract_z
_atom_site_occupancy
Ru1 Ru 0.000 0.000 0.000 1
W1 W 0.500 0.500 0.000 1
Au1 Au 0.000 0.500 0.500 1
# D(E_F) (states/eV/cell): 3.18
# Calculated formation energy (eV/atom): 0.61
# V (Å³ per cell): 62.7


(4)
# Ru2WAu | Alexandria | PBEsol | relaxed
data_Ru2WAu
_symmetry_space_group_name_H-M 'F -4 3 m'
_symmetry_Int_Tables_number 216
_symmetry_space_group_name_Hall 'F -4 2 3'
_cell_length_a 6.215
_cell_length_b 6.215
_cell_length_c 6.215
_cell_angle_alpha 90.00
_cell_angle_beta 90.00
_cell_angle_gamma 90.00
loop_
_atom_site_label
_atom_site_type_symbol
_atom_site_fract_x
_atom_site_fract_y
_atom_site_fract_z
_atom_site_occupancy
Ru1 Ru 0.000 0.000 0.000 1
Ru2 Ru 0.250 0.250 0.250 1
W1 W 0.000 0.000 0.500 1
Au1 Au 0.250 0.250 0.750 1
# D(E_F) (states/eV/cell): 15.54
# Calculated formation energy (eV/atom): 0.62
# V (Å³ per cell): 240.1


(5)
# RuWAu2 | Alexandria | PBEsol | relaxed
data_RuWAu2
_symmetry_space_group_name_H-M 'P m m m'
_symmetry_Int_Tables_number 47
_cell_length_a 2.830
_cell_length_b 4.151
_cell_length_c 5.282
_cell_angle_alpha 90.00
_cell_angle_beta 90.00
_cell_angle_gamma 90.00
loop_
_symmetry_equiv_pos_as_xyz
'x,y,z'
'-x,-y,-z'
'-x,-y,z'
'x,y,-z'
'x,-y,-z'
'-x,y,z'
'-x,y,-z'
'x,-y,z'
loop_
_atom_site_label
_atom_site_type_symbol
_atom_site_fract_x
_atom_site_fract_y
_atom_site_fract_z
_atom_site_occupancy
Ru1 Ru 0.000 0.000 0.000 1
W1 W 0.000 0.000 0.500 1
Au1 Au 0.500 0.500 0.251 1
# D(E_F) (states/eV/cell): 3.36
# Calculated formation energy (eV/atom): 0.40
# V (Å³ per cell): 62.0


(6)
# Y2RuAu | Alexandria | PBEsol | relaxed
data_Y2RuAu
_symmetry_space_group_name_H-M 'A m m 2'
_symmetry_Int_Tables_number 38
_cell_length_a 4.522
_cell_length_b 3.614
_cell_length_c 10.455
_cell_angle_alpha 90.00
_cell_angle_beta 90.00
_cell_angle_gamma 90.00
loop_
_symmetry_equiv_pos_as_xyz
'x,y,z'
'-x,-y,z'
'-x,y,z'
'x,-y,z'
'x,y+1/2,z+1/2'
'-x,-y+1/2,z+1/2'
'-x,y+1/2,z+1/2'
'x,-y+1/2,z+1/2'
loop_
_atom_site_label
_atom_site_type_symbol
_atom_site_fract_x
_atom_site_fract_y
_atom_site_fract_z
_atom_site_occupancy
Y1 Y 0.000 0.000 0.000 1
Y2 Y 0.500 0.000 0.284 1
Ru1 Ru 0.000 0.000 0.731 1
Au1 Au 0.500 0.000 0.563 1
# D(E_F) (states/eV/cell): 7.06
# Calculated formation energy (eV/atom): -0.51
# V (Å³ per cell): 170.9


(7)
# YRuAu | Alexandria | PBEsol | relaxed
data_YRuAu
_symmetry_space_group_name_H-M 'P 3 m 1'
_symmetry_Int_Tables_number 156
_cell_length_a 3.2334
_cell_length_b 3.2334
_cell_length_c 6.3985
_cell_angle_alpha 90.00
_cell_angle_beta 90.00
_cell_angle_gamma 120.00
loop_
_symmetry_equiv_pos_as_xyz
'x,y,z'
'-y,x-y,z'
'-x+y,-x,z'
'-y,-x,z'
'-x+y,y,z'
'x,x-y,z'
loop_
_atom_site_label
_atom_site_type_symbol
_atom_site_fract_x
_atom_site_fract_y
_atom_site_fract_z
_atom_site_occupancy
Y1 Y 0.0000 0.0000 0.0000 1
Ru1 Ru 0.6667 0.3333 0.3097 1
Au1 Au 0.3333 0.6667 0.6355 1
# D(E_F) (states/eV/cell): 3.00
# Calculated formation energy (eV/atom): 0.23
# V (Å³ per cell): 57.9


(8)
# Y2RuAu | Alexandria | PBEsol | relaxed
data_Y2RuAu
_symmetry_space_group_name_H-M 'P 4/m m m'
_symmetry_Int_Tables_number 123
_symmetry_space_group_name_Hall '-P 4 2'
_cell_length_a 3.410
_cell_length_b 3.410
_cell_length_c 7.063
_cell_angle_alpha 90.00
_cell_angle_beta 90.00
_cell_angle_gamma 90.00
loop_
_atom_site_label
_atom_site_type_symbol
_atom_site_fract_x
_atom_site_fract_y
_atom_site_fract_z
_atom_site_occupancy
Y1 Y 0.000 0.000 0.233 1
Ru1 Ru 0.500 0.500 0.000 1
Au1 Au 0.500 0.500 0.500 1
# D(E_F) (states/eV/cell): 2.35
# Calculated formation energy (eV/atom): -0.61
# V (Å³ per cell): 82.1


Question: Among the records above, which one has the lowest V?
Answer: YRuAu


Repeat the first record exactly.
# Tm2RuAu | Alexandria | PBEsol | relaxed
data_Tm2RuAu
_symmetry_space_group_name_H-M 'F m -3 m'
_symmetry_Int_Tables_number 225
_symmetry_space_group_name_Hall '-F 4 2 3'
_cell_length_a 6.788
_cell_length_b 6.788
_cell_length_c 6.788
_cell_angle_alpha 90.00
_cell_angle_beta 90.00
_cell_angle_gamma 90.00
loop_
_atom_site_label
_atom_site_type_symbol
_atom_site_fract_x
_atom_site_fract_y
_atom_site_fract_z
_atom_site_occupancy
Tm1 Tm 0.250 0.250 0.250 1
Ru1 Ru 0.000 0.000 0.000 1
Au1 Au 0.000 0.000 0.500 1
# D(E_F) (states/eV/cell): 8.12
# Calculated formation energy (eV/atom): -0.63
# V (Å³ per cell): 312.7